Below is an optimized crystal structure of CuNiRhF6, with properties calculated at the GGA+U level.

Results
Final energy = -39.79 eV per formula unit
Crystal system = tetragonal

Cell: 4.801 4.801 9.635 Å, 90.00 90.00 90.00°
Fractional coordinates of all 18 atoms:
Cu  0.000  0.000  0.000
Cu  0.500  0.500  0.500
Ni  0.000  0.000  0.669
Ni  0.500  0.500  0.169
Rh  0.000  0.000  0.335
Rh  0.500  0.500  0.835
F  0.191  0.191  0.501
F  0.197  0.197  0.831
F  0.200  0.200  0.173
F  0.300  0.700  0.673
F  0.303  0.697  0.331
F  0.309  0.691  0.001
F  0.691  0.309  0.001
F  0.697  0.303  0.331
F  0.700  0.300  0.673
F  0.800  0.800  0.173
F  0.803  0.803  0.831
F  0.809  0.809  0.501